Below is MgZnRhAu after structural relaxation, with properties calculated at the PBE-GGA level.

Cell lengths 3.5613, 4.1458, 4.1927 Å; angles 90.00, 90.00, 90.00 degrees
Element x y z (fractional)
Mg (0.0000, 0.0000, 0.0000)
Zn (0.0000, 0.5000, 0.5000)
Rh (0.5000, 0.0000, 0.5000)
Au (0.5000, 0.5000, 0.0000)

formation energy = -490 meV/atom
DOS at the Fermi energy = 0.918 states/eV/cell


Below is Er4Rh2Pb5 after structural relaxation, with properties calculated at the PBE-GGA level.

Cell lengths 8.0495, 3.5842, 9.8107 Å; angles 90.00, 93.74, 90.00 degrees
Element x y z (fractional)
Er (0.1958, 0.0000, 0.4312)
Er (0.1995, 0.0000, 0.8384)
Er (0.8005, 0.0000, 0.1616)
Er (0.8042, 0.0000, 0.5688)
Rh (0.0849, 0.5000, 0.6369)
Rh (0.9151, 0.5000, 0.3631)
Pb (0.1400, 0.5000, 0.1332)
Pb (0.4617, 0.5000, 0.6609)
Pb (0.5000, 0.5000, 0.0000)
Pb (0.5383, 0.5000, 0.3391)
Pb (0.8600, 0.5000, 0.8668)

formation energy = -569 meV/atom
DOS at the Fermi energy = 4.429 states/eV/cell


Below is RbPaInSe4 after structural relaxation, with properties calculated at the PBE-GGA level.

Cell lengths 8.5260, 8.5260, 8.5260 Å; angles 118.06, 107.83, 102.91 degrees
Element x y z (fractional)
Rb (0.4396, 0.1896, 0.2500)
Rb (0.5604, 0.8104, 0.7500)
Pa (0.0000, 0.0000, 0.5000)
Pa (0.0000, 0.5000, 0.0000)
In (0.0000, 0.5000, 0.5000)
In (0.5000, 0.5000, 0.0000)
Se (0.1520, 0.2257, 0.9263)
Se (0.2006, 0.7743, 0.4263)
Se (0.2547, 0.3088, 0.5541)
Se (0.2547, 0.7007, 0.9459)
Se (0.7453, 0.2993, 0.0541)
Se (0.7453, 0.6912, 0.4459)
Se (0.7994, 0.2257, 0.5737)
Se (0.8480, 0.7743, 0.0737)

DOS at the Fermi energy = 2.365 states/eV/cell


Below is Pm4PrTmS8 after structural relaxation, with properties calculated at the PBE-GGA level.

Cell lengths 8.2163, 8.2163, 8.2163 Å; angles 60.45, 60.45, 60.45 degrees
Element x y z (fractional)
Pm (0.0000, 0.0000, 0.0000)
Pm (0.3764, 0.3764, 0.8780)
Pm (0.3764, 0.8780, 0.3764)
Pm (0.8780, 0.3764, 0.3764)
Pr (0.7537, 0.7537, 0.7537)
Tm (0.3767, 0.3767, 0.3767)
S (0.1329, 0.1329, 0.1329)
S (0.1423, 0.1423, 0.5997)
S (0.1423, 0.5997, 0.1423)
S (0.1589, 0.6101, 0.6101)
S (0.5997, 0.1423, 0.1423)
S (0.6101, 0.1589, 0.6101)
S (0.6101, 0.6101, 0.1589)
S (0.6190, 0.6190, 0.6190)

DOS at the Fermi energy = 7.820 states/eV/cell


Below is CeSm4Se5 after structural relaxation, with properties calculated at the PBE-GGA level.

Cell lengths 15.0717, 15.0717, 15.0717 Å; angles 164.07, 164.07, 22.61 degrees
Element x y z (fractional)
Ce (0.0000, 0.0000, 0.0000)
Sm (0.1979, 0.1979, 0.0000)
Sm (0.3994, 0.3994, 0.0000)
Sm (0.6006, 0.6006, 0.0000)
Sm (0.8021, 0.8021, 0.0000)
Se (0.0997, 0.0997, 0.0000)
Se (0.2988, 0.2988, 0.0000)
Se (0.5000, 0.5000, 0.0000)
Se (0.7012, 0.7012, 0.0000)
Se (0.9003, 0.9003, 0.0000)

DOS at the Fermi energy = 9.024 states/eV/cell


Below is TmScInRu after structural relaxation, with properties calculated at the PBE-GGA level.

Cell lengths 3.3500, 3.3500, 7.4845 Å; angles 90.00, 90.00, 90.00 degrees
Element x y z (fractional)
Tm (0.0000, 0.0000, 0.0000)
Sc (0.0000, 0.0000, 0.5781)
In (0.5000, 0.5000, 0.3068)
Ru (0.5000, 0.5000, 0.7727)

relative energy among the computed polymorphs = 0.0 meV per atom
formation energy = -545 meV/atom
DOS at the Fermi energy = 2.910 states/eV/cell


Below is La7Nd2Sm2 after structural relaxation, with properties calculated at the PBE-GGA level.

Cell lengths 10.7183, 10.7183, 3.7614 Å; angles 96.04, 96.04, 68.30 degrees
Element x y z (fractional)
La (0.0000, 0.0000, 0.0000)
La (0.0837, 0.5861, 0.8208)
La (0.3985, 0.3985, 0.2510)
La (0.4139, 0.9163, 0.1792)
La (0.5861, 0.0837, 0.8208)
La (0.6015, 0.6015, 0.7490)
La (0.9163, 0.4139, 0.1792)
Nd (0.2059, 0.2059, 0.6661)
Nd (0.7941, 0.7941, 0.3339)
Sm (0.2520, 0.7480, 0.5000)
Sm (0.7480, 0.2520, 0.5000)

relative energy among the computed polymorphs = 0.0 meV per atom
formation energy = 89 meV/atom
DOS at the Fermi energy = 15.258 states/eV/cell


Below is Ba6NaHAu after structural relaxation, with properties calculated at the PBE-GGA level.

Cell lengths 8.1969, 8.1969, 7.7699 Å; angles 90.00, 90.00, 120.00 degrees
Element x y z (fractional)
Ba (0.0398, 0.3458, 0.2339)
Ba (0.0398, 0.6940, 0.7661)
Ba (0.3060, 0.3458, 0.7661)
Ba (0.3060, 0.9602, 0.2339)
Ba (0.6542, 0.6940, 0.2339)
Ba (0.6542, 0.9602, 0.7661)
Na (0.6667, 0.3333, 0.5000)
H (0.3333, 0.6667, 0.0000)
Au (0.0000, 0.0000, 0.0000)

DOS at the Fermi energy = 8.535 states/eV/cell


Record order is preserved below.
Calculated total energy: -3.865; -5.251; -4.914; -6.292; -6.044; -6.250; -4.771; -2.325 eV per atom